# AcGa2Pt5Rh PBE relaxed
# Raw total energy (eV/atom): -5.707
# Total magnetization (μB per formula unit): 0.00
# ΔH_f (0 K) (eV/atom): -0.405
data_AcGa2Pt5Rh
_chemical_formula_sum 'Ac1 Ga2 Pt5 Rh1'
_cell_length_a 4.0851
_cell_length_b 4.0851
_cell_length_c 11.2663
_cell_angle_alpha 90.00
_cell_angle_beta 90.00
_cell_angle_gamma 90.00
_symmetry_space_group_name_H-M 'P 1'
_symmetry_Int_Tables_number 1
loop_
_symmetry_equiv_pos_as_xyz
'x,y,z'
loop_
_atom_site_label
_atom_site_fract_x
_atom_site_fract_y
_atom_site_fract_z
Pt1 0.5000 0.5000 0.5000
Pt2 0.0000 0.5000 0.8501
Pt3 0.5000 0.0000 0.8501
Pt4 0.5000 0.0000 0.1499
Pt5 0.0000 0.5000 0.1499
Ac1 0.0000 0.0000 0.5000
Ga1 0.5000 0.5000 0.7197
Ga2 0.5000 0.5000 0.2803
Rh1 0.0000 0.0000 0.0000